First-principles (GGA-PBE) data for BaSmNO after structural relaxation, as listed in the Open Quantum Materials Database.

a = 4.9814 Å, b = 4.9814 Å, c = 6.7227 Å
α = 90.00°, β = 90.00°, γ = 90.00°
Closest atoms and distances in Å follow each position.
Fractional coordinates of all 8 atoms:
Ba 0.2500 0.7500 0.0000  4 N 2.67
Ba 0.7500 0.2500 0.0000  4 N 2.67
Sm 0.2500 0.2500 0.4573  1 N 2.10
Sm 0.7500 0.7500 0.5427  1 N 2.10
N 0.2500 0.2500 0.1450  1 Sm 2.10
N 0.7500 0.7500 0.8550  1 Sm 2.10
O 0.2500 0.7500 0.5000  4 Sm 2.51
O 0.7500 0.2500 0.5000  4 Sm 2.51

Results
Spin magnetization, μB/f.u.: 0.00
Space-group type: P4/nmm
Energy above the most stable polymorph in this dataset, eV per formula unit: 0.764
Final energy, eV/atom: -6.69